DFT (PBE) results for an optimized crystal structure of Tb4Sc5.

Properties
energy of formation from the pure elements = 0.08 eV per atom
V = 497 Å³ per cell
SG = P6_3/mcm (193)

Lattice parameters (Å, degrees): 9.2821 9.2821 6.6572 90.00 90.00 120.00
Last column: nearest neighbours and their distance in Å.
Fractional coordinates of all 18 atoms:
Tb: 0.0000 0.0000 0.0000  2 Tb 3.33, 6 Sc 3.35
Tb: 0.0000 0.0000 0.5000  2 Tb 3.33, 6 Sc 3.35
Tb: 0.0000 0.3607 0.2500  5 Sc 3.02-3.36
Tb: 0.0000 0.6393 0.7500  5 Sc 3.02-3.36
Tb: 0.3607 0.0000 0.2500  5 Sc 3.02-3.36
Tb: 0.3607 0.3607 0.7500  5 Sc 3.02-3.36
Tb: 0.6393 0.0000 0.7500  5 Sc 3.02-3.36
Tb: 0.6393 0.6393 0.2500  5 Sc 3.02-3.36
Sc: 0.0000 0.3137 0.7500  7 Tb 3.02-3.36
Sc: 0.0000 0.6863 0.2500  7 Tb 3.02-3.36
Sc: 0.3137 0.0000 0.7500  7 Tb 3.02-3.36
Sc: 0.3137 0.3137 0.2500  7 Tb 3.02-3.36
Sc: 0.3333 0.6667 0.0000  8 Sc 3.33-3.60, 6 Tb 3.41
Sc: 0.3333 0.6667 0.5000  8 Sc 3.33-3.60, 6 Tb 3.41
Sc: 0.6667 0.3333 0.0000  8 Sc 3.33-3.60, 6 Tb 3.41
Sc: 0.6667 0.3333 0.5000  8 Sc 3.33-3.60, 6 Tb 3.41
Sc: 0.6863 0.0000 0.2500  7 Tb 3.02-3.36
Sc: 0.6863 0.6863 0.7500  7 Tb 3.02-3.36

DFT (PBE) results for an optimized crystal structure of TbSc6.

Properties
energy of formation from the pure elements = 0.25 eV per atom
V = 372 Å³ per cell
SG = P4/nbm (125)

Lattice parameters (Å, degrees): 6.0542 6.0542 10.1513 90.00 90.00 90.00
Last column: nearest neighbours and their distance in Å.
Fractional coordinates of all 14 atoms:
Tb: 0.2500 0.7500 0.0000  8 Sc 3.36
Tb: 0.7500 0.2500 0.0000  8 Sc 3.36
Sc: 0.0819 0.5819 0.3636  8 Sc 2.88-3.19
Sc: 0.0819 0.9181 0.6364  8 Sc 2.88-3.19
Sc: 0.2500 0.2500 0.1443  5 Sc 2.93-3.17
Sc: 0.2500 0.2500 0.8557  5 Sc 2.93-3.17
Sc: 0.4181 0.5819 0.6364  8 Sc 2.88-3.19
Sc: 0.4181 0.9181 0.3636  8 Sc 2.88-3.19
Sc: 0.5819 0.0819 0.6364  8 Sc 2.88-3.19
Sc: 0.5819 0.4181 0.3636  8 Sc 2.88-3.19
Sc: 0.7500 0.7500 0.1443  5 Sc 2.93-3.17
Sc: 0.7500 0.7500 0.8557  5 Sc 2.93-3.17
Sc: 0.9181 0.0819 0.3636  8 Sc 2.88-3.19
Sc: 0.9181 0.4181 0.6364  8 Sc 2.88-3.19

DFT (PBE) results for an optimized crystal structure of Tb3Sc2.

Properties
energy of formation from the pure elements = 0.05 eV per atom
V = 287 Å³ per cell
SG = P-1 (2)

Lattice parameters (Å, degrees): 5.9745 6.8615 7.6858 76.81 75.10 73.11
Last column: nearest neighbours and their distance in Å.
Fractional coordinates of all 10 atoms:
Tb: 0.0070 0.2434 0.4969  7 Tb 3.35-3.51, 5 Sc 3.40-3.47
Tb: 0.2003 0.5530 0.0984  5 Sc 3.39-3.46, 7 Tb 3.44-3.49
Tb: 0.4051 0.3415 0.6995  5 Sc 3.35-3.51, 7 Tb 3.44-3.51
Tb: 0.5949 0.6585 0.3005  5 Sc 3.35-3.51, 7 Tb 3.44-3.51
Tb: 0.7997 0.4470 0.9016  5 Sc 3.39-3.46, 7 Tb 3.44-3.49
Tb: 0.9930 0.7566 0.5031  7 Tb 3.35-3.51, 5 Sc 3.40-3.47
Sc: 0.2008 0.0490 0.0955  5 Sc 3.36-3.44, 7 Tb 3.39-3.46
Sc: 0.3984 0.8528 0.7054  8 Tb 3.35-3.51, 4 Sc 3.36-3.47
Sc: 0.6016 0.1472 0.2946  8 Tb 3.35-3.51, 4 Sc 3.36-3.47
Sc: 0.7992 0.9510 0.9045  5 Sc 3.36-3.44, 7 Tb 3.39-3.46

DFT (PBE) results for an optimized crystal structure of Tb2Sc8Tc.

Properties
energy of formation from the pure elements = -0.02 eV per atom
V = 271 Å³ per cell
SG = C2/m (12)

Lattice parameters (Å, degrees): 8.8835 8.8835 6.2927 94.55 94.55 33.16
Last column: nearest neighbours and their distance in Å.
Fractional coordinates of all 11 atoms:
Tb: 0.2223 0.2223 0.1636  9 Sc 3.25-3.48, 2 Tb 3.45
Tb: 0.7777 0.7777 0.8364  9 Sc 3.25-3.48, 2 Tb 3.45
Sc: 0.0295 0.0295 0.2682  2 Tc 2.99, 7 Sc 3.16-3.27
Sc: 0.1585 0.1585 0.6589  6 Sc 3.05-3.27, 4 Tb 3.27-3.38
Sc: 0.3570 0.3570 0.6101  1 Tc 2.59
Sc: 0.4180 0.4180 0.1131  1 Tc 2.70
Sc: 0.5820 0.5820 0.8869  1 Tc 2.70
Sc: 0.6430 0.6430 0.3899  1 Tc 2.59
Sc: 0.8415 0.8415 0.3411  6 Sc 3.05-3.27, 4 Tb 3.27-3.38
Sc: 0.9705 0.9705 0.7318  2 Tc 2.99, 7 Sc 3.16-3.27
Tc: 0.5000 0.5000 0.5000  4 Sc 2.59-2.70

DFT (PBE) results for an optimized crystal structure of Tb3ScTc.

Properties
energy of formation from the pure elements = 0.00 eV per atom
V = 265 Å³ per cell
SG = Pmmn (59)

Lattice parameters (Å, degrees): 5.0240 8.1420 6.4746 90.00 90.00 90.00
Last column: nearest neighbours and their distance in Å.
Fractional coordinates of all 10 atoms:
Tb: 0.2500 0.0488 0.1930  1 Tc 2.76
Tb: 0.2500 0.2500 0.7272  2 Tc 3.10, 2 Sc 3.26, 2 Tb 3.43
Tb: 0.2500 0.4512 0.1930  1 Tc 2.76
Tb: 0.7500 0.5488 0.8070  1 Tc 2.76
Tb: 0.7500 0.7500 0.2728  2 Tc 3.10, 2 Sc 3.26, 2 Tb 3.43
Tb: 0.7500 0.9512 0.8070  1 Tc 2.76
Sc: 0.2500 0.7500 0.5929  1 Tc 2.58
Sc: 0.7500 0.2500 0.4071  1 Tc 2.58
Tc: 0.2500 0.7500 0.9913  1 Sc 2.58, 2 Tb 2.76
Tc: 0.7500 0.2500 0.0087  1 Sc 2.58, 2 Tb 2.76

DFT (PBE) results for an optimized crystal structure of Tb2ScTc.

Properties
energy of formation from the pure elements = 0.07 eV per atom
V = 99 Å³ per cell
SG = P4/mmm (123)

Lattice parameters (Å, degrees): 3.4767 3.4767 8.1779 90.00 90.00 90.00
Last column: nearest neighbours and their distance in Å.
Fractional coordinates of all 4 atoms:
Tb: 0.0000 0.0000 0.2009  4 Tc 2.96, 1 Tb 3.29
Tb: 0.0000 0.0000 0.7991  4 Tc 2.96, 1 Tb 3.29
Sc: 0.5000 0.5000 0.5000  8 Tb 3.47, 4 Sc 3.48
Tc: 0.5000 0.5000 0.0000  8 Tb 2.96

DFT (PBE) results for an optimized crystal structure of Tb2ScTc.

Properties
energy of formation from the pure elements = -0.11 eV per atom
V = 405 Å³ per cell
SG = Pnma (62)

Lattice parameters (Å, degrees): 7.1940 9.0938 6.1849 90.00 90.00 90.00
Last column: nearest neighbours and their distance in Å.
Fractional coordinates of all 16 atoms:
Tb: 0.1794 0.0626 0.1639  3 Tc 2.87-3.10
Tb: 0.1794 0.4374 0.1639  3 Tc 2.87-3.10
Tb: 0.3206 0.5626 0.6639  3 Tc 2.87-3.10
Tb: 0.3206 0.9374 0.6639  3 Tc 2.87-3.10
Tb: 0.6794 0.0626 0.3361  3 Tc 2.87-3.10
Tb: 0.6794 0.4374 0.3361  3 Tc 2.87-3.10
Tb: 0.8206 0.5626 0.8361  3 Tc 2.87-3.10
Tb: 0.8206 0.9374 0.8361  3 Tc 2.87-3.10
Sc: 0.0478 0.2500 0.6360  2 Tc 2.60-2.65
Sc: 0.4522 0.7500 0.1360  2 Tc 2.60-2.65
Sc: 0.5478 0.2500 0.8640  2 Tc 2.60-2.65
Sc: 0.9522 0.7500 0.3640  2 Tc 2.60-2.65
Tc: 0.1162 0.7500 0.9801  2 Sc 2.60-2.65, 2 Tb 2.87
Tc: 0.3838 0.2500 0.4801  2 Sc 2.60-2.65, 2 Tb 2.87
Tc: 0.6162 0.7500 0.5199  2 Sc 2.60-2.65, 2 Tb 2.87
Tc: 0.8838 0.2500 0.0199  2 Sc 2.60-2.65, 2 Tb 2.87

DFT (PBE) results for an optimized crystal structure of Tb2ScTc.

Properties
energy of formation from the pure elements = 0.32 eV per atom
V = 103 Å³ per cell
SG = R-3m (166)

Lattice parameters (Å, degrees): 10.7396 10.7396 10.7396 17.94 17.94 17.94
Last column: nearest neighbours and their distance in Å.
Fractional coordinates of all 4 atoms:
Tb: 0.1011 0.1011 0.1011  3 Tc 2.84
Tb: 0.8989 0.8989 0.8989  3 Tc 2.84
Sc: 0.0000 0.0000 0.0000  2 Tb 3.21, 6 Sc 3.35
Tc: 0.5000 0.5000 0.5000  6 Tb 2.84